Record 1
Crystalline Li2Re at its relaxed geometry, computed with PBE.

It has space group Immm (No. 71), with a = 2.4172 Å, b = 4.3392 Å, c = 8.4128 Å, α = 90.00°, β = 90.00° and γ = 90.00°. The distinct sites, in fractional coordinates, are Li at (0.0000, 0.0000, 0.1643) and Re at (0.0000, 0.0000, 0.5000).

For the total energy, the calculation gives -4.8348 eV per atom. Its formation energy is 0.590 eV/atom. Its distance to the lowest polymorph of the same formula is 0.396 eV/atom.


Record 2
Crystalline YBe2Pb at its relaxed geometry, computed with PBE.

It has space group F-43m (No. 216), with a = 6.8010 Å, b = 6.8010 Å, c = 6.8010 Å, α = 90.00°, β = 90.00° and γ = 90.00°. The distinct sites, in fractional coordinates, are Y at (0.0000, 0.0000, 0.0000), Be at (0.0000, 0.0000, 0.5000), Be at (0.2500, 0.2500, 0.2500) and Pb at (0.2500, 0.2500, 0.7500).

For the total energy, the calculation gives -3.8993 eV per atom. Its formation energy is 0.507 eV/atom.


Record 3
Crystalline GdUBi2 at its relaxed geometry, computed with PBE.

It has space group R-3m (No. 166, hexagonal axes), with a = 3.3994 Å, b = 3.3994 Å, c = 36.1344 Å, α = 90.00°, β = 90.00° and γ = 120.00°. The distinct sites, in fractional coordinates, are Gd at (0.0000, 0.0000, 0.0000), U at (0.0000, 0.0000, 0.5000) and Bi at (0.0000, 0.0000, 0.0897).

For the total energy, the calculation gives -8.1244 eV per atom. Its formation energy is 0.158 eV/atom.


Record 4
Crystalline PmAlS3 at its relaxed geometry, computed with PBE.

It has space group Pnma (No. 62), with a = 5.3643 Å, b = 14.3990 Å, c = 5.2943 Å, α = 90.00°, β = 90.00° and γ = 90.00°. The distinct sites, in fractional coordinates, are Pm at (0.0000, 0.0000, 0.0000), Al at (0.0961, 0.2500, 0.4323), S at (0.0050, 0.0977, 0.5045) and S at (0.0141, 0.2500, 0.0058).

For the total energy, the calculation gives -5.5865 eV per atom. The formation energy from raw total energies comes out at -1411 meV/atom. Its distance to the lowest polymorph of the same formula is 0.110 eV/atom.


Copy entry 2 word for word.
Crystalline YBe2Pb at its relaxed geometry, computed with PBE.

It has space group F-43m (No. 216), with a = 6.8010 Å, b = 6.8010 Å, c = 6.8010 Å, α = 90.00°, β = 90.00° and γ = 90.00°. The distinct sites, in fractional coordinates, are Y at (0.0000, 0.0000, 0.0000), Be at (0.0000, 0.0000, 0.5000), Be at (0.2500, 0.2500, 0.2500) and Pb at (0.2500, 0.2500, 0.7500).

For the total energy, the calculation gives -3.8993 eV per atom. Its formation energy is 0.507 eV/atom.


Please write out number 3 again, unchanged.
Crystalline GdUBi2 at its relaxed geometry, computed with PBE.

It has space group R-3m (No. 166, hexagonal axes), with a = 3.3994 Å, b = 3.3994 Å, c = 36.1344 Å, α = 90.00°, β = 90.00° and γ = 120.00°. The distinct sites, in fractional coordinates, are Gd at (0.0000, 0.0000, 0.0000), U at (0.0000, 0.0000, 0.5000) and Bi at (0.0000, 0.0000, 0.0897).

For the total energy, the calculation gives -8.1244 eV per atom. Its formation energy is 0.158 eV/atom.


Which formula does entry 3 have? GdUBi2